Record 1
This record from Alexandria via LeMat-Bulk describes a geometry-optimized VTe2SN structure. The functional is PBE.

- SG: P4/mmm, No. 123
- Uncorrected formation energy: 0.291 eV per atom
- Excess energy over the best structure of this formula in the dataset: 0 meV/atom
- DFT total energy: -0.3881 Ry per atom
- Spin magnetization: 0.040 μB/atom
- Calculated density: 5.8 g/cm³

POSCAR file:
```
VTe2SN
1.0
-0.018 3.154 -4.216
-4.759 -1.814 -1.336
-1.558 2.631 1.975
Te V N S
2 1 1 1
Direct
0.000 0.500 0.000
0.500 0.000 0.000
0.000 0.000 0.000
0.000 0.000 0.500
0.500 0.500 0.500
```

Record 2
This record from Alexandria via LeMat-Bulk describes a geometry-optimized BaSeBr2N structure. The functional is PBE.

- SG: P4/mmm, No. 123
- Uncorrected formation energy: -0.199 eV per atom
- Excess energy over the best structure of this formula in the dataset: 0 meV/atom
- DFT total energy: -0.2657 Ry per atom
- Spin magnetization: 0.195 μB/atom
- Calculated density: 5.4 g/cm³

POSCAR file:
```
BaSeBr2N
1.0
5.136 0.000 0.000
0.000 5.136 0.000
0.000 0.000 4.579
N Se Ba Br
1 1 1 2
Direct
0.000 0.000 0.000
0.000 0.000 0.500
0.500 0.500 0.500
0.500 0.000 0.000
0.000 0.500 0.000
```

Record 3
This record from Alexandria via LeMat-Bulk describes a geometry-optimized Na2TeSeO structure. The functional is PBE.

- SG: P4/mmm, No. 123
- Uncorrected formation energy: -0.520 eV per atom
- DFT total energy: -0.2473 Ry per atom
- Spin magnetization: 0.002 μB/atom
- Calculated density: 3.5 g/cm³

POSCAR file:
```
Na2TeSeO
1.0
5.820 0.000 0.000
0.000 3.778 0.000
0.000 0.000 5.820
Te O Se Na
1 1 1 2
Direct
0.500 0.500 0.500
0.000 0.500 0.000
0.000 0.000 0.000
0.500 0.000 0.000
0.000 0.000 0.500
```

Record 4
This record from Alexandria via LeMat-Bulk describes a geometry-optimized BaCdInAs2 structure. The functional is PBE.

- SG: C2/m, No. 12
- DFT total energy: -0.2532 Ry per atom
- E_form: -0.470 eV/atom
- Spin magnetization: 0.000 μB/atom
- Calculated density: 5.5 g/cm³

POSCAR file:
```
BaCdInAs2
1.0
5.178 0.000 0.000
-2.589 6.602 -0.053
0.000 -1.701 9.119
As Cd Ba In
4 2 2 2
Direct
0.604 0.209 0.337
0.396 0.791 0.663
0.141 0.282 0.944
0.859 0.718 0.056
0.353 0.706 0.932
0.647 0.294 0.068
0.667 0.334 0.695
0.333 0.666 0.305
0.948 0.895 0.766
0.052 0.105 0.234
```

Record 5
This record from Alexandria via LeMat-Bulk describes a geometry-optimized TbHfBe2 structure. The functional is PBE.

- SG: P4/mmm, No. 123
- DFT total energy: -0.4036 Ry per atom
- E_form: 0.017 eV/atom
- Spin magnetization: 0.000 μB/atom
- Calculated density: 8.5 g/cm³

POSCAR file:
```
TbHfBe2
1.0
3.272 0.000 0.000
0.000 3.272 0.000
0.000 0.000 6.509
Be Tb Hf
2 1 1
Direct
0.000 0.000 0.207
0.000 0.000 0.793
0.500 0.500 0.500
0.500 0.500 0.000
```

Record 6
This record from Alexandria via LeMat-Bulk describes a geometry-optimized Ce2Pr3Se4 structure. The functional is PBE.

- SG: C2/m, No. 12
- Uncorrected formation energy: -1.542 eV per atom
- DFT total energy: -0.4412 Ry per atom
- Spin magnetization: 0.278 μB/atom
- Calculated density: 6.4 g/cm³

POSCAR file:
```
Ce2Pr3Se4
1.0
-3.439 2.317 -0.685
-3.487 -3.034 -5.652
-6.822 -5.177 3.846
Ce Pr Se
2 3 4
Direct
0.597 0.209 0.597
0.403 0.791 0.403
0.204 0.390 0.202
0.796 0.610 0.798
0.000 0.000 0.000
0.803 0.086 0.308
0.197 0.914 0.692
0.601 0.695 0.103
0.399 0.305 0.897
```

Record 7
This record from Alexandria via LeMat-Bulk describes a geometry-optimized UTi2Rh structure. The functional is PBE.

- SG: P4/mmm, No. 123
- Excess energy over the best structure of this formula in the dataset: 140 meV/atom
- DFT total energy: -0.6445 Ry per atom
- E_form: -0.162 eV/atom
- Spin magnetization: 0.300 μB/atom
- Calculated density: 10.9 g/cm³

POSCAR file:
```
UTi2Rh
1.0
-2.913 0.038 0.675
-0.831 -3.164 -3.411
0.672 -3.510 3.093
U Ti Rh
1 2 1
Direct
0.500 0.500 0.500
0.000 0.000 0.500
0.000 0.500 0.000
0.500 0.000 0.000
```

Record 8
This record from Alexandria via LeMat-Bulk describes a geometry-optimized CaTi2H structure. The functional is PBE.

- SG: I4_1/amd, No. 141
- Excess energy over the best structure of this formula in the dataset: 0 meV/atom
- DFT total energy: -0.3797 Ry per atom
- Spin magnetization: 0.613 μB/atom
- Calculated density: 3.0 g/cm³

POSCAR file:
```
CaTi2H
1.0
6.013 0.000 0.000
0.000 6.013 0.000
3.006 3.006 4.246
Ca Ti H
2 4 2
Direct
0.000 0.000 0.000
0.750 0.250 0.500
0.375 0.626 0.750
0.374 0.125 0.250
0.875 0.624 0.750
0.376 0.625 0.250
0.250 0.750 0.500
0.500 0.500 0.000
```

Record 9
This record from Alexandria via LeMat-Bulk describes a geometry-optimized K2InSnCl5 structure. The functional is PBE.

- SG: Cmc2_1, No. 36
- Uncorrected formation energy: -1.367 eV per atom
- DFT total energy: -0.2488 Ry per atom
- Spin magnetization: 0.000 μB/atom
- Calculated density: 2.6 g/cm³

POSCAR file:
```
K2InSnCl5
1.0
4.319 0.000 0.000
-2.159 9.051 0.000
0.000 0.000 16.229
Cl K Sn In
10 4 2 2
Direct
0.898 0.795 0.560
0.469 0.937 0.768
0.531 0.063 0.268
0.230 0.460 0.662
0.770 0.540 0.162
0.586 0.172 0.527
0.751 0.502 0.920
0.414 0.828 0.027
0.249 0.498 0.420
0.102 0.205 0.060
0.949 0.899 0.162
0.155 0.311 0.254
0.051 0.101 0.662
0.845 0.689 0.754
0.737 0.475 0.534
0.263 0.525 0.034
0.556 0.111 0.937
0.444 0.889 0.437
```

Record 10
This record from Alexandria via LeMat-Bulk describes a geometry-optimized Hf8Ga3Si2 structure. The functional is PBE.

- SG: C2/m, No. 12
- Uncorrected formation energy: -0.216 eV per atom
- DFT total energy: -0.5787 Ry per atom
- Spin magnetization: 0.000 μB/atom
- Calculated density: 10.5 g/cm³

POSCAR file:
```
Hf8Ga3Si2
1.0
-3.030 -1.554 -4.221
1.597 -7.592 1.648
-5.910 3.498 2.757
Si Hf Ga
2 8 3
Direct
0.593 0.782 0.565
0.407 0.218 0.435
0.897 0.169 0.339
0.631 0.561 0.736
0.631 0.175 0.736
0.103 0.831 0.661
0.369 0.825 0.264
0.874 0.607 0.214
0.369 0.439 0.264
0.126 0.393 0.786
0.000 0.208 0.000
0.500 0.000 0.000
0.000 0.792 0.000
```

Record 11
This record from Alexandria via LeMat-Bulk describes a geometry-optimized Ca3AlRe structure. The functional is PBE.

- SG: Pm-3m, No. 221
- Excess energy over the best structure of this formula in the dataset: 584 meV/atom
- DFT total energy: -0.2231 Ry per atom
- E_form: 1.404 eV/atom
- Spin magnetization: 0.034 μB/atom
- Calculated density: 3.2 g/cm³

POSCAR file:
```
Ca3AlRe
1.0
5.550 0.000 0.000
0.000 5.550 0.000
0.000 0.000 5.550
Ca Re Al
3 1 1
Direct
0.000 0.000 0.500
0.500 0.000 0.000
0.000 0.500 0.000
0.500 0.500 0.500
0.000 0.000 0.000
```

Record 12
This record from Alexandria via LeMat-Bulk describes a geometry-optimized YHoS3 structure. The functional is PBE.

- SG: C2/m, No. 12
- Uncorrected formation energy: -2.022 eV per atom
- DFT total energy: -0.4930 Ry per atom
- Spin magnetization: 0.000 μB/atom
- Calculated density: 4.8 g/cm³

POSCAR file:
```
YHoS3
1.0
-1.666 2.464 2.810
-8.260 0.799 -2.618
-5.969 -4.497 3.384
S Ho Y
6 2 2
Direct
0.644 0.525 0.186
0.734 0.844 0.689
0.266 0.156 0.311
0.356 0.475 0.814
0.045 0.138 0.772
0.955 0.862 0.228
0.147 0.739 0.966
0.853 0.261 0.034
0.369 0.791 0.470
0.631 0.209 0.530
```